1.
The following is a DFT calculation (PBE) of a relaxed structure of TaTe2H.

Summary:
* total magnetic moment: 0.98 μB per formula unit
* excess energy over the best structure of this formula in the dataset: 931 meV per atom
* crystal system: cubic
* SG: No. 225

The structure in extended XYZ format:
```
4
Lattice="0.000 3.398 3.398 3.398 0.000 3.398 3.398 3.398 0.000" Properties=species:S:1:pos:R:3 pbc="T T T"
H 0.000 0.000 0.000
Te 1.699 1.699 1.699
Te 5.097 5.097 5.097
Ta 3.398 3.398 3.398
```

---

2.
The following is a DFT calculation (PBE) of a relaxed structure of HoCo2As2.

Summary:
* total magnetic moment: 0.00 μB per formula unit
* crystal system: monoclinic
* SG: No. 15
* energy relative to the elements: -226 kJ/mol of formula units

The structure in extended XYZ format:
```
10
Lattice="-0.860 -0.717 5.020 -4.888 -1.797 1.539 1.752 -6.760 1.969" Properties=species:S:1:pos:R:3 pbc="T T T"
Ho -3.982 -3.661 6.039
Ho -0.013 -5.612 2.489
Co -1.900 -2.774 3.889
Co -3.682 -7.231 6.898
Co -0.313 -2.042 1.630
Co -2.095 -6.499 4.639
As -4.065 -1.797 3.656
As -0.959 -4.460 5.127
As 0.070 -7.477 4.872
As -3.036 -4.813 3.401
```